# 1
This record from the Alexandria database describes a geometry-optimized Tb4Pr3YSe8 structure. The functional is GGA-PBE.

Properties
* energy relative to the elements, uncorrected: -1.79 eV/atom
* magnetic moment: 0.00 μB/f.u.
* Fermi-level density of states: 0.622 states/eV per atom
* density: 7.25 g/cm³

a b c (Å): 8.2745 8.2745 20.6236
angles (deg): 90.00 90.00 120.00
Closest atoms and distances in Å follow each position.
Space group R-3m (No. 166, hexagonal axes)
Inequivalent atoms, fractional coordinates:
Tb (0.0000, 0.0000, 0.0000) [3 per cell]  6 Se 2.94
Tb (0.0000, 0.5000, 0.0000) [9 per cell]  6 Se 2.88
Pr (0.0000, 0.5000, 0.5000) [9 per cell]  6 Se 3.01
Y (0.0000, 0.0000, 0.5000) [3 per cell]  6 Se 2.95
Se (0.0000, 0.0000, 0.2553) [6 per cell]  3 Tb 2.88, 3 Pr 3.01
Se (0.0071, 0.5035, 0.2535) [18 per cell]  3 Tb 2.88-2.94, 1 Y 2.95, 2 Pr 3.01


# 2
This record from the Alexandria database describes a geometry-optimized TbPr2YSe6 structure. The functional is GGA-PBE.

Properties
* energy relative to the elements, uncorrected: -1.85 eV/atom
* magnetic moment: 0.00 μB/f.u.
* Fermi-level density of states: 0.000 states/eV per atom
* density: 5.38 g/cm³

a b c (Å): 7.3975 7.3975 19.6150
angles (deg): 90.00 90.00 120.00
Closest atoms and distances in Å follow each position.
Space group R3 (No. 146, hexagonal axes)
Inequivalent atoms, fractional coordinates:
Tb (0.0000, 0.0000, 0.0000) [3 per cell]  6 Se 2.85-2.91
Pr (0.0000, 0.0000, 0.2018) [3 per cell]  6 Se 2.96-3.05
Pr (0.0000, 0.0000, 0.7021) [3 per cell]  6 Se 2.96-3.05
Y (0.0000, 0.0000, 0.5004) [3 per cell]  6 Se 2.85-2.90
Se (0.0207, 0.7108, 0.5958) [9 per cell]  1 Tb 2.85, 1 Y 2.90, 2 Pr 2.96-3.05
Se (0.0218, 0.3111, 0.0958) [9 per cell]  1 Y 2.85, 1 Tb 2.91, 2 Pr 2.96-3.05


# 3
This record from the Alexandria database describes a geometry-optimized TbPr4Y3Se8 structure. The functional is GGA-PBE.

Properties
* energy relative to the elements, uncorrected: -1.81 eV/atom
* magnetic moment: 0.00 μB/f.u.
* Fermi-level density of states: 0.576 states/eV per atom
* density: 6.52 g/cm³

a b c (Å): 8.2633 8.2633 20.9392
angles (deg): 90.00 90.00 120.00
Closest atoms and distances in Å follow each position.
Space group R-3m (No. 166, hexagonal axes)
Inequivalent atoms, fractional coordinates:
Tb (0.0000, 0.0000, 0.0000) [3 per cell]  6 Se 2.89
Pr (0.0000, 0.0000, 0.5000) [3 per cell]  6 Se 3.03
Pr (0.0000, 0.5000, 0.5000) [9 per cell]  6 Se 3.03
Y (0.0000, 0.5000, 0.0000) [9 per cell]  6 Se 2.89
Se (0.0000, 0.0000, 0.2558) [6 per cell]  3 Y 2.89, 3 Pr 3.03
Se (0.0003, 0.5001, 0.2557) [18 per cell]  2 Y 2.89, 1 Tb 2.89, 3 Pr 3.03


# 4
This record from the Alexandria database describes a geometry-optimized TbPr3Y2Se6 structure. The functional is GGA-PBE.

Properties
* energy relative to the elements, uncorrected: -1.81 eV/atom
* magnetic moment: 0.00 μB/f.u.
* Fermi-level density of states: 0.483 states/eV per atom
* density: 6.62 g/cm³

a b c (Å): 7.1528 12.4566 7.3460
angles (deg): 90.00 109.08 90.00
Closest atoms and distances in Å follow each position.
Space group C2/m (No. 12)
Inequivalent atoms, fractional coordinates:
Tb (0.0000, 0.0000, 0.0000) [2 per cell]  6 Se 2.89-2.90
Pr (0.0000, 0.1663, 0.5000) [4 per cell]  6 Se 3.02
Pr (0.0000, 0.5000, 0.5000) [2 per cell]  6 Se 3.02
Y (0.0000, 0.3334, 0.0000) [4 per cell]  6 Se 2.89
Se (0.2439, 0.5000, 0.2338) [4 per cell]  2 Y 2.89, 1 Tb 2.89, 3 Pr 3.02
Se (0.2449, 0.1670, 0.2341) [8 per cell]  2 Y 2.89, 1 Tb 2.90, 3 Pr 3.02


# 5
This record from the Alexandria database describes a geometry-optimized TbPr2YSe4 structure. The functional is GGA-PBE.

Properties
* energy relative to the elements, uncorrected: -1.81 eV/atom
* magnetic moment: 0.00 μB/f.u.
* Fermi-level density of states: 0.524 states/eV per atom
* density: 6.80 g/cm³

a b c (Å): 7.1684 4.1098 7.3943
angles (deg): 90.00 108.65 90.00
Closest atoms and distances in Å follow each position.
Space group P2/m (No. 10)
Inequivalent atoms, fractional coordinates:
Tb (0.0000, 0.0000, 0.0000) [1 per cell]  6 Se 2.89
Pr (0.0000, 0.5000, 0.5000) [1 per cell]  6 Se 3.03
Pr (0.5000, 0.0000, 0.5000) [1 per cell]  6 Se 3.02
Y (0.5000, 0.5000, 0.0000) [1 per cell]  6 Se 2.89
Se (0.2448, 0.5000, 0.2340) [2 per cell]  2 Tb 2.89, 1 Y 2.89, 3 Pr 3.02-3.03
Se (0.2560, 0.0000, 0.7664) [2 per cell]  2 Y 2.89, 1 Tb 2.89, 3 Pr 3.02-3.03


# 6
This record from the Alexandria database describes a geometry-optimized Tb3Pr2YSe6 structure. The functional is GGA-PBE.

Properties
* energy relative to the elements, uncorrected: -1.80 eV/atom
* magnetic moment: 0.00 μB/f.u.
* Fermi-level density of states: 0.467 states/eV per atom
* density: 7.22 g/cm³

a b c (Å): 18.1221 4.1255 8.3685
angles (deg): 90.00 103.83 90.00
Closest atoms and distances in Å follow each position.
Space group C2/m (No. 12)
Inequivalent atoms, fractional coordinates:
Tb (0.0000, 0.0000, 0.0000) [2 per cell]  6 Se 2.86-2.94
Tb (0.1702, 0.5000, 0.3337) [4 per cell]  6 Se 2.87-2.92
Pr (0.1684, 0.5000, 0.8362) [4 per cell]  6 Se 2.98-3.04
Y (0.0000, 0.0000, 0.5000) [2 per cell]  6 Se 2.90-2.93
Se (0.0041, 0.5000, 0.2528) [4 per cell]  3 Tb 2.92-2.94, 2 Y 2.93, 1 Pr 3.04
Se (0.1623, 0.0000, 0.0919) [4 per cell]  3 Tb 2.86-2.87, 3 Pr 2.98-2.99
Se (0.1646, 0.0000, 0.5723) [4 per cell]  3 Tb 2.89-2.91, 1 Y 2.90, 2 Pr 3.01


Q: Look up the energy relative to the elements, uncorrected of the fourth one.
A: -1.81 eV/atom